DFT (PBE) results for an optimized crystal structure of Nb3AlS6.

Values from the calculation:
Space-group type: Cmc2_1, No. 36
Spin magnetization: 0.0 Bohr magnetons per cell
E: -0.489 Ry/atom
Formation energy (no corrections): -782 meV/atom

a b c (Å): 7.838 7.838 5.890
angles (deg): 90.00 90.00 100.08
Fractional positions:
Nb 0.079 0.921 0.500
Nb 0.251 0.425 0.383
Nb 0.425 0.251 0.883
Nb 0.575 0.749 0.383
Nb 0.749 0.575 0.883
Nb 0.921 0.079 0.000
Al 0.264 0.736 0.865
Al 0.736 0.264 0.365
S 0.038 0.610 0.659
S 0.126 0.213 0.691
S 0.213 0.126 0.191
S 0.272 0.728 0.241
S 0.390 0.962 0.659
S 0.446 0.554 0.740
S 0.554 0.446 0.240
S 0.610 0.038 0.159
S 0.728 0.272 0.741
S 0.787 0.874 0.691
S 0.874 0.787 0.191
S 0.962 0.390 0.159



DFT (PBE) results for an optimized crystal structure of NbAlS.

Values from the calculation:
Space-group type: R-3m, No. 166
Spin magnetization: 0.0 Bohr magnetons per cell
E: -0.452 Ry/atom
Formation energy (no corrections): -171 meV/atom

a b c (Å): 10.079 10.079 10.079
angles (deg): 22.03 22.03 22.03
Fractional positions:
Nb 0.062 0.062 0.062
Nb 0.938 0.938 0.938
Al 0.342 0.342 0.342
Al 0.658 0.658 0.658
S 0.225 0.225 0.225
S 0.775 0.775 0.775



DFT (PBE) results for an optimized crystal structure of Nb2AlS.

Values from the calculation:
Space-group type: I-42d, No. 122
Spin magnetization: 0.0 Bohr magnetons per cell
E: -0.511 Ry/atom
Formation energy (no corrections): 52 meV/atom
Relative energy among the computed polymorphs: 87 meV per atom

a b c (Å): 3.899 3.899 18.706
angles (deg): 90.00 90.00 90.00
Fractional positions:
Nb 0.246 0.250 0.125
Nb 0.250 0.746 0.375
Nb 0.250 0.754 0.875
Nb 0.254 0.250 0.625
Nb 0.746 0.750 0.625
Nb 0.750 0.246 0.875
Nb 0.750 0.254 0.375
Nb 0.754 0.750 0.125
Al 0.000 0.000 0.500
Al 0.000 0.500 0.750
Al 0.500 0.000 0.250
Al 0.500 0.500 0.000
S 0.000 0.000 0.000
S 0.000 0.500 0.250
S 0.500 0.000 0.750
S 0.500 0.500 0.500



DFT (PBE) results for an optimized crystal structure of NbAl2S.

Values from the calculation:
Space-group type: I-42d, No. 122
Spin magnetization: 0.0 Bohr magnetons per cell
E: -0.397 Ry/atom
Formation energy (no corrections): 21 meV/atom

a b c (Å): 7.150 7.150 5.288
angles (deg): 90.00 90.00 90.00
Fractional positions:
Nb 0.000 0.000 0.000
Nb 0.000 0.500 0.250
Nb 0.500 0.000 0.750
Nb 0.500 0.500 0.500
Al 0.214 0.750 0.625
Al 0.250 0.214 0.375
Al 0.250 0.286 0.875
Al 0.286 0.750 0.125
Al 0.714 0.250 0.125
Al 0.750 0.714 0.875
Al 0.750 0.786 0.375
Al 0.786 0.250 0.625
S 0.000 0.000 0.500
S 0.000 0.500 0.750
S 0.500 0.000 0.250
S 0.500 0.500 0.000



DFT (PBE) results for an optimized crystal structure of Nb2AlTlS.

Values from the calculation:
Space-group type: P4/mmm, No. 123
Spin magnetization: 0.0 Bohr magnetons per cell
E: -0.423 Ry/atom
Formation energy (no corrections): 318 meV/atom

a b c (Å): 4.665 4.665 4.596
angles (deg): 90.00 90.00 90.00
Fractional positions:
Nb 0.000 0.500 0.000
Nb 0.500 0.000 0.000
Al 0.000 0.000 0.500
Tl 0.500 0.500 0.500
S 0.000 0.000 0.000



DFT (PBE) results for an optimized crystal structure of Nb2AlSb.

Values from the calculation:
Space-group type: I-42d, No. 122
Spin magnetization: 0.0 Bohr magnetons per cell
E: -0.500 Ry/atom
Formation energy (no corrections): 193 meV/atom
Relative energy among the computed polymorphs: 150 meV per atom

a b c (Å): 4.014 4.014 20.036
angles (deg): 90.00 90.00 90.00
Fractional positions:
Nb 0.233 0.250 0.125
Nb 0.250 0.733 0.375
Nb 0.250 0.767 0.875
Nb 0.267 0.250 0.625
Nb 0.733 0.750 0.625
Nb 0.750 0.233 0.875
Nb 0.750 0.267 0.375
Nb 0.767 0.750 0.125
Al 0.000 0.000 0.000
Al 0.000 0.500 0.250
Al 0.500 0.000 0.750
Al 0.500 0.500 0.500
Sb 0.000 0.000 0.500
Sb 0.000 0.500 0.750
Sb 0.500 0.000 0.250
Sb 0.500 0.500 0.000



DFT (PBE) results for an optimized crystal structure of Nb6AlSb.

Values from the calculation:
Space-group type: Pm-3, No. 200
Spin magnetization: 0.0 Bohr magnetons per cell
E: -0.645 Ry/atom
Formation energy (no corrections): -237 meV/atom

a b c (Å): 5.263 5.263 5.263
angles (deg): 90.00 90.00 90.00
Fractional positions:
Nb 0.000 0.246 0.500
Nb 0.000 0.754 0.500
Nb 0.246 0.500 0.000
Nb 0.500 0.000 0.246
Nb 0.500 0.000 0.754
Nb 0.754 0.500 0.000
Al 0.000 0.000 0.000
Sb 0.500 0.500 0.500



DFT (PBE) results for an optimized crystal structure of NbAlSb2.

Values from the calculation:
Space-group type: R-3m, No. 166
Spin magnetization: 0.0 Bohr magnetons per cell
E: -0.367 Ry/atom
Formation energy (no corrections): 526 meV/atom

a b c (Å): 3.090 3.090 33.923
angles (deg): 90.00 90.00 120.00
Fractional positions:
Nb 0.000 0.000 0.000
Nb 0.333 0.667 0.667
Nb 0.667 0.333 0.333
Al 0.000 0.000 0.500
Al 0.333 0.667 0.167
Al 0.667 0.333 0.833
Sb 0.000 0.000 0.085
Sb 0.000 0.000 0.915
Sb 0.333 0.667 0.582
Sb 0.333 0.667 0.752
Sb 0.667 0.333 0.248
Sb 0.667 0.333 0.418



DFT (PBE) results for an optimized crystal structure of Nb12Al3Sb.

Values from the calculation:
Space-group type: Pmmm, No. 47
Spin magnetization: 0.0 Bohr magnetons per cell
E: -0.642 Ry/atom
Formation energy (no corrections): -218 meV/atom

a b c (Å): 5.247 5.248 10.432
angles (deg): 90.00 90.00 90.00
Fractional positions:
Nb 0.000 0.000 0.123
Nb 0.000 0.000 0.371
Nb 0.000 0.000 0.629
Nb 0.000 0.000 0.877
Nb 0.243 0.500 0.500
Nb 0.257 0.500 0.000
Nb 0.500 0.254 0.244
Nb 0.500 0.254 0.756
Nb 0.500 0.746 0.244
Nb 0.500 0.746 0.756
Nb 0.743 0.500 0.000
Nb 0.757 0.500 0.500
Al 0.000 0.500 0.251
Al 0.000 0.500 0.749
Al 0.500 0.000 0.000
Sb 0.500 0.000 0.500



DFT (PBE) results for an optimized crystal structure of NbAlSb2.

Values from the calculation:
Space-group type: I-42d, No. 122
Spin magnetization: 8.0 Bohr magnetons per cell
E: -0.377 Ry/atom
Formation energy (no corrections): 391 meV/atom

a b c (Å): 6.374 6.374 12.550
angles (deg): 90.00 90.00 90.00
Fractional positions:
Nb 0.000 0.000 0.000
Nb 0.000 0.500 0.250
Nb 0.500 0.000 0.750
Nb 0.500 0.500 0.500
Al 0.000 0.000 0.500
Al 0.000 0.500 0.750
Al 0.500 0.000 0.250
Al 0.500 0.500 0.000
Sb 0.242 0.250 0.625
Sb 0.250 0.742 0.875
Sb 0.250 0.758 0.375
Sb 0.258 0.250 0.125
Sb 0.742 0.750 0.125
Sb 0.750 0.242 0.375
Sb 0.750 0.258 0.875
Sb 0.758 0.750 0.625



DFT (PBE) results for an optimized crystal structure of Nb2AlSb.

Values from the calculation:
Space-group type: Fm-3m, No. 225
Spin magnetization: 0.0 Bohr magnetons per cell
E: -0.511 Ry/atom
Formation energy (no corrections): 42 meV/atom
Relative energy among the computed polymorphs: 0 meV per atom

a b c (Å): 6.667 6.667 6.667
angles (deg): 90.00 90.00 90.00
Fractional positions:
Nb 0.250 0.250 0.250
Nb 0.250 0.250 0.750
Nb 0.250 0.750 0.250
Nb 0.250 0.750 0.750
Nb 0.750 0.250 0.250
Nb 0.750 0.250 0.750
Nb 0.750 0.750 0.250
Nb 0.750 0.750 0.750
Al 0.000 0.000 0.000
Al 0.000 0.500 0.500
Al 0.500 0.000 0.500
Al 0.500 0.500 0.000
Sb 0.000 0.000 0.500
Sb 0.000 0.500 0.000
Sb 0.500 0.000 0.000
Sb 0.500 0.500 0.500



DFT (PBE) results for an optimized crystal structure of NbAlTcSb2.

Values from the calculation:
Space-group type: P4/mmm, No. 123
Spin magnetization: 1.8 Bohr magnetons per cell
E: -0.400 Ry/atom
Formation energy (no corrections): 1040 meV/atom

a b c (Å): 5.363 5.363 4.801
angles (deg): 90.00 90.00 90.00
Fractional positions:
Nb 0.000 0.000 0.000
Al 0.500 0.500 0.500
Tc 0.000 0.000 0.500
Sb 0.000 0.500 0.000
Sb 0.500 0.000 0.000